Entry 1:
VASP calculation (GGA-PBE) on an optimized crystal structure of YEr4Tl.

## Properties
Space-group type: P4/mmm (123)
Total DFT energy (no corrections): -4.6159 eV per atom
Energy relative to the elements: -0.61 eV/f.u.

abc: 3.560 3.560 14.121
angles: 90.00 90.00 90.00
Positions (direct):
Y 0.000 0.000 0.000
Er 0.500 0.500 0.177
Er 0.000 0.000 0.650
Er 0.000 0.000 0.350
Er 0.500 0.500 0.823
Tl 0.500 0.500 0.500


Entry 2:
VASP calculation (GGA-PBE) on an optimized crystal structure of Y2ErTl3.

## Properties
Space-group type: Cmcm (63)
Total DFT energy (no corrections): -4.3350 eV per atom
Energy relative to the elements: -1.42 eV/f.u.

abc: 3.651 6.692 14.442
angles: 90.00 97.26 90.00
Last column: magnetic moment on the atom in μB.
Positions (direct):
Y 0.152 0.750 0.303  0.00
Y 0.848 0.250 0.697  0.00
Y 0.996 0.750 0.991  0.16
Y 0.004 0.250 0.009  0.16
Er 0.331 0.750 0.662  -0.01
Er 0.669 0.250 0.338  -0.01
Tl 0.423 0.494 0.846  0.00
Tl 0.577 0.506 0.154  0.00
Tl 0.423 0.006 0.846  0.00
Tl 0.577 0.994 0.154  0.00
Tl 0.743 0.750 0.487  0.00
Tl 0.257 0.250 0.513  0.00


Entry 3:
VASP calculation (GGA-PBE) on an optimized crystal structure of Y6ErTl2.

## Properties
Space-group type: C2/m (12)
Total DFT energy (no corrections): -5.5085 eV per atom
Energy relative to the elements: -1.50 eV/f.u.

abc: 3.744 6.663 11.895
angles: 74.71 80.95 73.68
Positions (direct):
Y 0.683 0.510 0.123
Y 0.317 0.490 0.877
Y 0.309 0.794 0.588
Y 0.983 0.691 0.344
Y 0.017 0.309 0.656
Y 0.691 0.206 0.412
Er 0.000 0.000 0.000
Tl 0.360 0.079 0.201
Tl 0.640 0.921 0.799


Entry 4:
VASP calculation (GGA-PBE) on an optimized crystal structure of YEr9Tl2.

## Properties
Space-group type: P4/mmm (123)
Total DFT energy (no corrections): -4.4571 eV per atom
Energy relative to the elements: -1.22 eV/f.u.

abc: 4.836 4.836 14.869
angles: 90.00 90.00 90.00
Positions (direct):
Y 0.000 0.000 0.000
Er 0.500 0.500 0.000
Er 0.500 0.500 0.338
Er 0.500 0.500 0.662
Er 0.500 0.000 0.172
Er 0.500 0.000 0.500
Er 0.500 0.000 0.828
Er 0.000 0.500 0.172
Er 0.000 0.500 0.500
Er 0.000 0.500 0.828
Tl 0.000 0.000 0.339
Tl 0.000 0.000 0.661


Entry 5:
VASP calculation (GGA-PBE) on an optimized crystal structure of Y4Er5Tl2.

## Properties
Space-group type: R-3m (166)
Total DFT energy (no corrections): -4.5970 eV per atom
Energy relative to the elements: 2.84 eV/f.u.

abc: 5.184 5.184 16.082
angles: 80.72 80.72 60.00
Positions (direct):
Y 0.724 0.724 0.827
Y 0.573 0.573 0.282
Y 0.427 0.427 0.718
Y 0.276 0.276 0.173
Er 0.802 0.802 0.595
Er 0.648 0.648 0.055
Er 0.500 0.500 0.500
Er 0.352 0.352 0.945
Er 0.198 0.198 0.405
Tl 0.122 0.122 0.634
Tl 0.878 0.878 0.366


Entry 6:
VASP calculation (GGA-PBE) on an optimized crystal structure of Y2Er7Tl2.

## Properties
Space-group type: C2/m (12)
Total DFT energy (no corrections): -4.4326 eV per atom
Energy relative to the elements: 0.84 eV/f.u.

abc: 6.479 7.632 7.632
angles: 100.98 105.30 105.30
Positions (direct):
Y 0.000 0.139 0.861
Y 0.000 0.861 0.139
Er 0.698 0.937 0.423
Er 0.302 0.577 0.063
Er 0.302 0.063 0.577
Er 0.698 0.423 0.937
Er 0.500 0.000 0.000
Er 0.967 0.665 0.665
Er 0.033 0.335 0.335
Tl 0.520 0.326 0.326
Tl 0.480 0.674 0.674